Ac3SnAu4 | PBE | optimized geometry

Summary:
* uncorrected energy: -4.40 eV per atom
* DOS(E_F): 8.18 states/eV per cell
* M_tot: 0.00 μB/cell
* calculated formation energy: -717 meV per atom

Structure (CIF):
```
data_Ac3SnAu4
_chemical_formula_sum 'Ac6 Sn2 Au8'
_cell_length_a 4.3388
_cell_length_b 7.3824
_cell_length_c 15.3302
_cell_angle_alpha 90.00
_cell_angle_beta 90.00
_cell_angle_gamma 90.00
_symmetry_space_group_name_H-M 'I m m m'
_symmetry_Int_Tables_number 71
_symmetry_space_group_name_Hall '-I 2 2'
loop_
_atom_site_label
_atom_site_fract_x
_atom_site_fract_y
_atom_site_fract_z
_atom_site_occupancy
Ac1 0.0000 0.0000 0.0000 1
Ac2 0.0000 0.5000 0.1827 1
Sn1 0.0000 0.0000 0.5000 1
Au1 0.0000 0.3042 0.3706 1
```